Below is a geometry-optimized Be2Tc3 structure, with properties calculated at the PBE level.

Computed properties:
Calculated formation energy, eV per formula unit: 1.57
M_tot, μB per formula unit: 0.0
Volume, Å³/atom: 12.61
N(E_F), states/eV/f.u.: 3.997
ρ, Mg/m³: 8.22

Cell: 3.867 3.867 4.870 Å, 90.00 90.00 120.00°
Fractional coordinates of all 5 atoms:
Be (0.333, 0.667, 0.354)
Be (0.667, 0.333, 0.646)
Tc (0.000, 0.000, 0.500)
Tc (0.333, 0.667, 0.865)
Tc (0.667, 0.333, 0.135)

Below is a geometry-optimized Be3Tc2 structure, with properties calculated at the PBE level.

Computed properties:
Calculated formation energy, eV per formula unit: -0.23
M_tot, μB per formula unit: 0.0
Volume, Å³/atom: 10.61
N(E_F), states/eV/f.u.: 2.405
ρ, Mg/m³: 6.98

Cell: 5.544 5.544 5.544 Å, 36.15 36.15 36.15°
Fractional coordinates of all 5 atoms:
Be (0.000, 0.000, 0.000)
Be (0.166, 0.166, 0.166)
Be (0.834, 0.834, 0.834)
Tc (0.408, 0.408, 0.408)
Tc (0.592, 0.592, 0.592)

Below is a geometry-optimized Be2Tc3 structure, with properties calculated at the PBE level.

Computed properties:
Calculated formation energy, eV per formula unit: 0.23
M_tot, μB per formula unit: 0.0
Volume, Å³/atom: 12.29
N(E_F), states/eV/f.u.: 3.185
ρ, Mg/m³: 8.43

Cell: 6.491 4.855 7.344 Å, 60.27 40.50 79.23°
Fractional coordinates of all 10 atoms:
Be (0.283, 0.717, 0.321)
Be (0.571, 0.929, 0.533)
Be (0.717, 0.283, 0.679)
Be (0.929, 0.571, 0.967)
Tc (0.105, 0.830, 0.109)
Tc (0.141, 0.293, 0.145)
Tc (0.293, 0.141, 0.420)
Tc (0.469, 0.469, 0.531)
Tc (0.719, 0.719, 0.781)
Tc (0.830, 0.105, 0.957)

Below is a geometry-optimized BeTc3 structure, with properties calculated at the PBE level.

Computed properties:
Calculated formation energy, eV per formula unit: 0.72
M_tot, μB per formula unit: 0.0
Volume, Å³/atom: 13.57
N(E_F), states/eV/f.u.: 4.063
ρ, Mg/m³: 9.27

Cell: 4.664 4.664 2.746 Å, 90.00 90.00 114.63°
Fractional coordinates of all 4 atoms:
Be (0.000, 0.000, 0.000)
Tc (0.000, 0.500, 0.500)
Tc (0.500, 0.000, 0.500)
Tc (0.500, 0.500, 0.000)